1.
Below is a relaxed structure of CuNiIr2, with properties calculated at the PBE-GGA level.

Lattice parameters (Å, degrees): 4.553 4.553 2.673 90.00 90.00 108.67
Atoms (fractional coordinates):
Cu 0.000 0.000 0.000
Ni 0.500 0.500 0.000
Ir 0.000 0.500 0.500
Ir 0.500 0.000 0.500

Output
- Total magnetic moment: 0.00 Bohr magnetons per cell

---

2.
Below is a relaxed structure of CuNiIr2, with properties calculated at the PBE-GGA level.

Lattice parameters (Å, degrees): 4.186 4.186 4.186 60.00 60.00 60.00
Atoms (fractional coordinates):
Cu 0.000 0.000 0.000
Ni 0.500 0.500 0.500
Ir 0.250 0.250 0.250
Ir 0.750 0.750 0.750

Output
- Total magnetic moment: 0.00 Bohr magnetons per cell

---

3.
Below is a relaxed structure of CuNiIr2, with properties calculated at the PBE-GGA level.

Lattice parameters (Å, degrees): 4.192 4.192 2.953 90.00 90.00 90.00
Atoms (fractional coordinates):
Cu 0.000 0.000 0.000
Ni 0.500 0.500 0.000
Ir 0.000 0.500 0.500
Ir 0.500 0.000 0.500

Output
- Total magnetic moment: 0.00 Bohr magnetons per cell

---

Calculated energy relative to the lowest polymorph listed for this composition (eV/f.u.), listed in the same order as above: 0.44 0.66 0.67
Calculated total energy (eV per atom), listed in the same order as above: -6.737 -6.684 -6.679
Calculated calculated formation energy (eV/atom), listed in the same order as above: 0.162 0.216 0.221